[1]
Here is a relaxed Sr2CoWS crystal from Alexandria. Energies are from PBE.

```
Sr2CoWS
1.0
5.757 0.000 0.000
0.000 4.102 0.000
0.000 0.000 5.757
Sr S Co W
2 1 1 1
Direct
0.000 0.000 0.500
0.500 0.000 0.000
0.000 0.000 0.000
0.000 0.500 0.000
0.500 0.500 0.500
```

## Properties
Space-group type: P4/mmm (123)
E_form (uncorrected) (meV per atom): 510.6



[2]
Here is a relaxed Sr2YCoS crystal from Alexandria. Energies are from PBE.

```
Sr2YCoS
1.0
6.373 0.000 0.000
0.000 4.389 0.000
0.000 0.000 6.373
Y Sr S Co
1 2 1 1
Direct
0.000 0.000 0.000
0.000 0.000 0.500
0.500 0.000 0.000
0.500 0.500 0.500
0.000 0.500 0.000
```

## Properties
Space-group type: P4/mmm (123)
E_form (uncorrected) (meV per atom): 649.3



[3]
Here is a relaxed Ta2CoS4 crystal from Alexandria. Energies are from PBE.

```
Ta2CoS4
1.0
4.380 0.000 0.000
0.000 4.380 0.000
2.190 2.190 6.224
S Co Ta
4 1 2
Direct
0.193 0.193 0.615
0.807 0.807 0.385
0.000 0.500 0.000
0.500 0.000 0.000
0.000 0.000 0.000
0.386 0.386 0.227
0.614 0.614 0.773
```

## Properties
Space-group type: I4/mmm (139)
E_form (uncorrected) (meV per atom): 100.8



[4]
Here is a relaxed Ta2CoS crystal from Alexandria. Energies are from PBE.

```
Ta2CoS
1.0
2.949 0.000 0.000
1.475 2.554 0.000
1.475 0.851 8.652
S Co Ta
1 1 2
Direct
0.500 0.500 0.500
0.000 0.000 0.000
0.092 0.092 0.723
0.908 0.908 0.277
```

## Properties
Space-group type: R-3m (166)
E_form (uncorrected) (meV per atom): 340.3



[5]
Here is a relaxed Ta2CoS crystal from Alexandria. Energies are from PBE.

```
Ta2CoS
1.0
5.434 0.000 0.000
0.000 5.434 0.000
2.717 2.717 5.530
S Co Ta
2 2 4
Direct
0.500 0.500 0.000
0.250 0.750 0.500
0.000 0.000 0.000
0.750 0.250 0.500
0.645 0.125 0.250
0.105 0.625 0.250
0.375 0.355 0.750
0.875 0.895 0.750
```

## Properties
Space-group type: I-42d (122)
E_form (uncorrected) (meV per atom): 357.1



[6]
Here is a relaxed TaCoS3 crystal from Alexandria. Energies are from PBE.

```
TaCoS3
1.0
3.342 0.000 0.000
0.000 11.996 0.000
0.000 0.000 11.642
Ta Co S
4 4 12
Direct
0.250 0.287 0.210
0.750 0.213 0.710
0.750 0.713 0.790
0.250 0.787 0.290
0.250 0.042 0.760
0.750 0.458 0.260
0.750 0.958 0.240
0.250 0.542 0.740
0.250 0.130 0.585
0.750 0.370 0.085
0.750 0.870 0.415
0.250 0.630 0.915
0.250 0.404 0.369
0.750 0.096 0.869
0.750 0.596 0.631
0.250 0.904 0.131
0.250 0.356 0.757
0.750 0.144 0.257
0.750 0.644 0.243
0.250 0.856 0.743
```

## Properties
Space-group type: Pnma (62)
E_form (uncorrected) (meV per atom): -700.4
Energy relative to the lowest polymorph listed for this composition (kcal/mol of atoms): 0.000



[7]
Here is a relaxed TaCoS2 crystal from Alexandria. Energies are from PBE.

```
TaCoS2
1.0
0.000 3.002 3.002
3.002 0.000 3.002
3.002 3.002 0.000
S Co Ta
2 1 1
Direct
0.250 0.250 0.250
0.750 0.750 0.750
0.000 0.000 0.000
0.500 0.500 0.500
```

## Properties
Space-group type: Fm-3m (225)
E_form (uncorrected) (meV per atom): -200.7
Energy relative to the lowest polymorph listed for this composition (kcal/mol of atoms): 5.025



[8]
Here is a relaxed TaCoS2 crystal from Alexandria. Energies are from PBE.

```
TaCoS2
1.0
1.853 0.000 7.592
-0.927 1.605 7.592
-0.927 -1.605 7.592
S Co Ta
2 1 1
Direct
0.905 0.905 0.905
0.095 0.095 0.095
0.000 0.000 0.000
0.500 0.500 0.500
```

## Properties
Space-group type: R-3m (166)
E_form (uncorrected) (meV per atom): -418.6
Energy relative to the lowest polymorph listed for this composition (kcal/mol of atoms): 0.000



[9]
Here is a relaxed TaCo2S4 crystal from Alexandria. Energies are from PBE.

```
TaCo2S4
1.0
-1.532 4.270 -1.767
-3.862 -0.161 2.960
0.237 4.752 4.571
S Co Ta
4 2 1
Direct
0.211 0.211 0.578
0.789 0.789 0.422
0.000 0.500 0.000
0.500 0.000 0.000
0.400 0.400 0.200
0.600 0.600 0.800
0.000 0.000 0.000
```

## Properties
Space-group type: I4/mmm (139)
E_form (uncorrected) (meV per atom): 17.0



[10]
Here is a relaxed TaCoS2 crystal from Alexandria. Energies are from PBE.

```
TaCoS2
1.0
5.316 0.000 0.000
0.000 5.316 0.000
2.658 2.658 5.041
S Co Ta
4 2 2
Direct
0.593 0.125 0.250
0.157 0.625 0.250
0.375 0.407 0.750
0.875 0.843 0.750
0.500 0.500 0.000
0.250 0.750 0.500
0.000 0.000 0.000
0.750 0.250 0.500
```

## Properties
Space-group type: I-42d (122)
E_form (uncorrected) (meV per atom): -355.5
Energy relative to the lowest polymorph listed for this composition (kcal/mol of atoms): 1.455



[11]
Here is a relaxed TaCoS3 crystal from Alexandria. Energies are from PBE.

```
TaCoS3
1.0
4.771 0.000 0.000
0.000 4.771 0.000
0.000 0.000 4.771
S Co Ta
3 1 1
Direct
0.000 0.500 0.000
0.000 0.000 0.500
0.500 0.000 0.000
0.500 0.500 0.500
0.000 0.000 0.000
```

## Properties
Space-group type: Pm-3m (221)
E_form (uncorrected) (meV per atom): 248.0
Energy relative to the lowest polymorph listed for this composition (kcal/mol of atoms): 21.869



[12]
Here is a relaxed TaCoS3 crystal from Alexandria. Energies are from PBE.

```
TaCoS3
1.0
-0.509 3.046 2.992
-0.955 -3.019 2.911
4.162 -0.320 1.034
S Co Ta
3 1 1
Direct
0.000 0.500 0.000
0.000 0.000 0.500
0.500 0.000 0.000
0.000 0.000 0.000
0.500 0.500 0.500
```

## Properties
Space-group type: Pm-3m (221)
E_form (uncorrected) (meV per atom): 450.3
Energy relative to the lowest polymorph listed for this composition (kcal/mol of atoms): 26.535



[13]
Here is a relaxed TaTlCoS2 crystal from Alexandria. Energies are from PBE.

```
TaTlCoS2
1.0
4.330 0.000 0.000
0.000 5.001 0.000
0.000 0.000 4.330
Tl Co S Ta
1 1 2 1
Direct
0.000 0.500 0.000
0.000 0.000 0.000
0.000 0.000 0.500
0.500 0.000 0.000
0.500 0.500 0.500
```

## Properties
Space-group type: P4/mmm (123)
E_form (uncorrected) (meV per atom): 857.3



[14]
Here is a relaxed Ta2TlCoS crystal from Alexandria. Energies are from PBE.

```
Ta2TlCoS
1.0
-3.870 -0.805 2.806
-0.443 -3.595 -1.642
2.869 -1.910 3.409
Tl Co S Ta
1 1 1 2
Direct
0.500 0.500 0.500
0.000 0.000 0.000
0.000 0.500 0.000
0.000 0.000 0.500
0.500 0.000 0.000
```

## Properties
Space-group type: P4/mmm (123)
E_form (uncorrected) (meV per atom): 716.2



[15]
Here is a relaxed Ta2Tl2CoS6 crystal from Alexandria. Energies are from PBE.

```
Ta2Tl2CoS6
1.0
6.067 -0.099 0.075
-3.085 5.225 0.075
-1.017 -1.747 7.821
Ta Tl Co S
2 2 1 6
Direct
0.352 0.648 0.500
0.648 0.352 0.500
0.827 0.173 0.000
0.173 0.827 0.000
0.000 0.000 0.500
0.739 0.739 0.694
0.046 0.382 0.674
0.261 0.261 0.306
0.382 0.046 0.674
0.954 0.618 0.326
0.618 0.954 0.326
```

## Properties
Space-group type: C2/m (12)
E_form (uncorrected) (meV per atom): -648.9



[16]
Here is a relaxed TbCoS crystal from Alexandria. Energies are from PBE.

```
TbCoS
1.0
3.632 0.000 0.000
0.000 5.691 -0.578
0.000 -1.076 5.618
S Co Tb
2 2 2
Direct
0.000 0.000 0.000
0.500 0.500 0.500
0.000 0.677 0.677
0.000 0.323 0.323
0.500 0.214 0.786
0.500 0.786 0.214
```

## Properties
Space-group type: Cmmm (65)
E_form (uncorrected) (meV per atom): -746.7



[17]
Here is a relaxed Tb2CoS crystal from Alexandria. Energies are from PBE.

```
Tb2CoS
1.0
3.885 0.000 0.000
0.000 3.870 -0.687
0.000 0.019 11.348
Tb Co S
4 2 2
Direct
0.750 0.685 0.370
0.250 0.315 0.630
0.750 0.933 0.866
0.250 0.067 0.134
0.250 0.473 0.945
0.750 0.527 0.055
0.250 0.192 0.384
0.750 0.808 0.616
```

## Properties
Space-group type: Cmcm (63)
E_form (uncorrected) (meV per atom): -1101.1



[18]
Here is a relaxed Tb3Co5S12 crystal from Alexandria. Energies are from PBE.

```
Tb3Co5S12
1.0
-2.549 10.173 6.767
-5.582 -9.915 5.129
12.342 -1.843 -0.254
Tb S Co
12 48 20
Direct
0.750 0.375 0.125
0.875 0.750 0.125
0.375 0.750 0.625
0.250 0.125 0.375
0.875 0.125 0.250
0.375 0.625 0.250
0.625 0.375 0.750
0.125 0.875 0.750
0.750 0.875 0.625
0.625 0.250 0.375
0.125 0.250 0.875
0.250 0.625 0.875
0.700 0.113 0.023
0.323 0.523 0.410
0.977 0.387 0.300
0.523 0.200 0.113
0.587 0.700 0.677
0.977 0.590 0.177
0.323 0.800 0.413
0.090 0.913 0.113
0.590 0.977 0.677
0.700 0.587 0.177
0.800 0.477 0.387
0.823 0.910 0.023
0.113 0.700 0.523
0.387 0.410 0.087
0.087 0.910 0.387
0.413 0.113 0.590
0.087 0.177 0.200
0.477 0.677 0.090
0.823 0.913 0.300
0.113 0.413 0.090
0.387 0.977 0.800
0.590 0.613 0.413
0.910 0.823 0.523
0.800 0.323 0.913
0.410 0.387 0.587
0.090 0.177 0.477
0.200 0.677 0.087
0.177 0.087 0.700
0.613 0.023 0.200
0.887 0.587 0.910
0.523 0.323 0.910
0.587 0.887 0.410
0.913 0.823 0.800
0.913 0.090 0.613
0.887 0.300 0.477
0.177 0.090 0.977
0.613 0.590 0.913
0.410 0.023 0.323
0.300 0.413 0.823
0.200 0.523 0.613
0.910 0.087 0.887
0.677 0.200 0.587
0.477 0.800 0.887
0.023 0.410 0.823
0.413 0.300 0.323
0.023 0.613 0.700
0.677 0.477 0.590
0.300 0.887 0.977
0.125 0.375 0.250
0.000 0.500 0.000
0.000 0.000 0.000
0.375 0.250 0.125
0.500 0.000 0.500
0.500 0.500 0.000
0.125 0.750 0.375
0.750 0.125 0.875
0.750 0.625 0.375
0.375 0.125 0.750
0.625 0.875 0.250
0.500 0.500 0.500
0.500 0.000 0.000
0.000 0.000 0.500
0.250 0.375 0.625
0.250 0.875 0.125
0.000 0.500 0.500
0.875 0.250 0.625
0.625 0.750 0.875
0.875 0.625 0.750
```

## Properties
Space-group type: Ia-3d (230)
E_form (uncorrected) (meV per atom): -853.2



[19]
Here is a relaxed Tb2Y2Co2S crystal from Alexandria. Energies are from PBE.

```
Tb2Y2Co2S
1.0
3.767 0.000 0.000
1.883 7.392 0.400
1.883 2.193 6.192
Tb Y Co S
2 2 2 1
Direct
0.520 0.253 0.707
0.480 0.747 0.293
0.228 0.701 0.843
0.772 0.299 0.157
0.100 0.448 0.353
0.900 0.552 0.647
0.000 0.000 0.000
```

## Properties
Space-group type: C2/m (12)
E_form (uncorrected) (meV per atom): -610.1



[20]
Here is a relaxed CoTcS2 crystal from Alexandria. Energies are from PBE.

```
CoTcS2
1.0
1.767 0.000 7.507
-0.884 1.531 7.507
-0.884 -1.531 7.507
S Co Tc
2 1 1
Direct
0.906 0.906 0.906
0.094 0.094 0.094
0.000 0.000 0.000
0.500 0.500 0.500
```

## Properties
Space-group type: R-3m (166)
E_form (uncorrected) (meV per atom): -56.0
Energy relative to the lowest polymorph listed for this composition (kcal/mol of atoms): 4.433



[21]
Here is a relaxed CoTcS crystal from Alexandria. Energies are from PBE.

```
CoTcS
1.0
-1.500 0.410 -3.815
-3.193 -2.163 -1.450
-4.330 3.564 0.780
Tc Co S
2 2 2
Direct
0.738 0.738 0.030
0.015 0.015 0.277
0.646 0.646 0.509
0.107 0.107 0.799
0.297 0.297 0.426
0.457 0.457 0.881
```

## Properties
Space-group type: C2/m (12)
E_form (uncorrected) (meV per atom): 43.1



[22]
Here is a relaxed CoTcS2 crystal from Alexandria. Energies are from PBE.

```
CoTcS2
1.0
1.502 -3.128 -2.303
-1.359 -3.886 0.626
-2.422 -1.842 -2.843
S Co Tc
2 1 1
Direct
0.250 0.250 0.250
0.750 0.750 0.750
0.000 0.000 0.000
0.500 0.500 0.500
```

## Properties
Space-group type: Fm-3m (225)
E_form (uncorrected) (meV per atom): 89.0
Energy relative to the lowest polymorph listed for this composition (kcal/mol of atoms): 7.778